The following is a GGA-PBE calculation of an optimized crystal structure of K3H6Os, from the Alexandria database.

Space-group type: Fm-3m
M_tot, Bohr magnetons per cell: 1.00
Crystal system: cubic
Electronic total energy, eV/cell: -36.12

Cell lengths 5.954, 5.954, 5.954 Å; angles 60.00, 60.00, 60.00 degrees
Positions (direct):
K (0.250, 0.250, 0.250)
K (0.500, 0.500, 0.500)
K (0.750, 0.750, 0.750)
H (0.795, 0.205, 0.795)
H (0.205, 0.795, 0.205)
H (0.795, 0.795, 0.205)
H (0.205, 0.205, 0.795)
H (0.795, 0.205, 0.205)
H (0.205, 0.795, 0.795)
Os (0.000, 0.000, 0.000)


The following is a GGA-PBE calculation of an optimized crystal structure of CuBiTe, from the Alexandria database.

Space-group type: P3m1
M_tot, Bohr magnetons per cell: 0.00
Crystal system: trigonal
Electronic total energy, eV/cell: -11.09

Cell lengths 4.087, 4.087, 5.208 Å; angles 90.00, 90.00, 120.00 degrees
Positions (direct):
Te (0.667, 0.333, 0.408)
Bi (0.000, 0.000, 0.943)
Cu (0.333, 0.667, 0.649)


The following is a GGA-PBE calculation of an optimized crystal structure of MgSiNi2Au, from the Alexandria database.

Space-group type: P4/mmm
M_tot, Bohr magnetons per cell: 0.93
Crystal system: tetragonal
Electronic total energy, eV/cell: -17.92

Cell lengths 4.810, 4.499, 4.810 Å; angles 90.00, 90.00, 90.00 degrees
Positions (direct):
Ni (0.000, 0.000, 0.500)
Ni (0.500, 0.000, 0.000)
Si (0.000, 0.500, 0.000)
Au (0.000, 0.000, 0.000)
Mg (0.500, 0.500, 0.500)